Below is an optimized crystal structure of PmHgCN2, with properties calculated at the PBE level.

Properties
Energy = -33.62 eV/f.u.
E_form (uncorrected) = -0.5390 eV/atom
SG = P2_1/m

a = 3.827 Å, b = 5.373 Å, c = 8.663 Å
α = 89.22°, β = 90.00°, γ = 90.00°
Element x y z (fractional)
1 Pm 0.750 0.887 0.303
2 Pm 0.250 0.113 0.697
3 Hg 0.750 0.274 0.016
4 Hg 0.250 0.726 0.984
5 C 0.750 0.617 0.631
6 C 0.250 0.383 0.369
7 N 0.250 0.609 0.349
8 N 0.250 0.154 0.394
9 N 0.750 0.846 0.606
10 N 0.750 0.391 0.651